1.
The following is a GGA-PBE calculation of a relaxed structure of Ta2InSeF, from Alexandria via LeMat-Bulk.

The structure belongs to space group P4/mmm (No. 123); the cell edges are 5.153, 5.153 and 5.105 Å and the angles 90.00°, 90.00° and 90.00°. The asymmetric unit holds Ta at (0.000, 0.500, 0.000), In at (0.000, 0.000, 0.000), Se at (0.000, 0.000, 0.500) and F at (0.500, 0.500, 0.500).


2.
The following is a GGA-PBE calculation of a relaxed structure of TiIn2SeF, from Alexandria via LeMat-Bulk.

The structure belongs to space group P4/mmm (No. 123); the cell edges are 5.603, 5.603 and 3.916 Å and the angles 90.00°, 90.00° and 90.00°. The asymmetric unit holds Ti at (0.000, 0.000, 0.000), In at (0.000, 0.500, 0.500), Se at (0.500, 0.500, 0.500) and F at (0.500, 0.500, 0.000).


3.
The following is a GGA-PBE calculation of a relaxed structure of TiInSe2F, from Alexandria via LeMat-Bulk.

The structure belongs to space group P4/mmm (No. 123); the cell edges are 5.084, 5.084 and 3.935 Å and the angles 90.00°, 90.00° and 90.00°. The asymmetric unit holds Ti at (0.000, 0.000, 0.000), In at (0.500, 0.500, 0.500), Se at (0.000, 0.500, 0.000) and F at (0.000, 0.000, 0.500).


4.
The following is a GGA-PBE calculation of a relaxed structure of TlInSe2F, from Alexandria via LeMat-Bulk.

The structure belongs to space group P4/mmm (No. 123); the cell edges are 5.429, 5.429 and 4.492 Å and the angles 90.00°, 90.00° and 90.00°. The asymmetric unit holds Tl at (0.000, 0.000, 0.000), In at (0.500, 0.500, 0.500), Se at (0.000, 0.500, 0.000) and F at (0.000, 0.000, 0.500).


5.
The following is a GGA-PBE calculation of a relaxed structure of YInSeF2, from Alexandria via LeMat-Bulk.

The structure belongs to space group P4/mmm (No. 123); the cell edges are 4.491, 4.491 and 5.697 Å and the angles 90.00°, 90.00° and 90.00°. The asymmetric unit holds Y at (0.000, 0.000, 0.000), In at (0.500, 0.500, 0.500), Se at (0.000, 0.000, 0.500) and F at (0.000, 0.500, 0.000).


6.
The following is a GGA-PBE calculation of a relaxed structure of ZrInSe2F, from Alexandria via LeMat-Bulk.

The structure belongs to space group P4/mmm (No. 123); the cell edges are 5.335, 5.335 and 4.243 Å and the angles 90.00°, 90.00° and 90.00°. The asymmetric unit holds Zr at (0.000, 0.000, 0.000), In at (0.500, 0.500, 0.500), Se at (0.000, 0.500, 0.000) and F at (0.000, 0.000, 0.500).


7.
The following is a GGA-PBE calculation of a relaxed structure of InSi2F8, from Alexandria via LeMat-Bulk.

The structure belongs to space group C2/m (No. 12); the cell edges are 9.910, 6.013 and 6.872 Å and the angles 90.00°, 108.70° and 90.00°. The asymmetric unit holds In at (0.000, 0.000, 0.000), Si at (0.203, 0.000, 0.718), F at (0.126, 0.500, 0.200), F at (0.150, 0.000, 0.471) and F at (0.168, 0.255, 0.765).


8.
The following is a GGA-PBE calculation of a relaxed structure of InSiF5, from Alexandria via LeMat-Bulk.

The structure belongs to space group Imm2 (No. 44); the cell edges are 7.757, 8.680 and 3.644 Å and the angles 90.00°, 90.00° and 90.00°. The asymmetric unit holds In at (0.000, 0.000, 0.000), Si at (0.000, 0.500, 0.997), F at (0.000, 0.307, 0.997), F at (0.000, 0.500, 0.497) and F at (0.218, 0.500, 0.997).


9.
The following is a GGA-PBE calculation of a relaxed structure of InSiF2, from Alexandria via LeMat-Bulk.

The energy above the most stable polymorph in this dataset comes out at 634 meV per atom.

The structure belongs to space group Fm-3m (No. 225); the cell edges are 6.348, 6.348 and 6.348 Å and the angles 90.00°, 90.00° and 90.00°. The asymmetric unit holds In at (0.000, 0.000, 0.000), Si at (0.000, 0.000, 0.500) and F at (0.250, 0.250, 0.250).


10.
The following is a GGA-PBE calculation of a relaxed structure of InSiF4, from Alexandria via LeMat-Bulk.

The structure belongs to space group C2/c (No. 15); the cell edges are 8.681, 3.844 and 17.157 Å and the angles 90.00°, 99.77° and 90.00°. The asymmetric unit holds In at (0.250, 0.250, 0.000), Si at (0.000, 0.241, 0.250), F at (0.021, 0.468, 0.175) and F at (0.151, 0.008, 0.275).


11.
The following is a GGA-PBE calculation of a relaxed structure of InSiF3, from Alexandria via LeMat-Bulk.

The energy above the most stable polymorph in this dataset comes out at 468 meV per atom.

The structure belongs to space group Pm-3m (No. 221); the cell edges are 4.396, 4.396 and 4.396 Å and the angles 90.00°, 90.00° and 90.00°. The asymmetric unit holds In at (0.000, 0.000, 0.000), Si at (0.500, 0.500, 0.500) and F at (0.000, 0.000, 0.500).


12.
The following is a GGA-PBE calculation of a relaxed structure of In3SiF7, from Alexandria via LeMat-Bulk.

The structure belongs to space group Cm (No. 8); the cell edges are 8.307, 8.098 and 6.914 Å and the angles 90.00°, 119.22° and 90.00°. The asymmetric unit holds In at (0.000, 0.000, 0.000), In at (0.028, 0.243, 0.542), Si at (0.024, 0.500, 0.085), F at (0.063, 0.000, 0.363), F at (0.161, 0.349, 0.272), F at (0.162, 0.500, 0.967), F at (0.387, 0.151, 0.909) and F at (0.390, 0.000, 0.216).


| no. | theoretical density (kg/m³) | formation energy from raw total energies (meV/atom) |
| --- | --- | --- |
| 1 | 7039 | 1814 |
| 2 | 5073 | 193 |
| 3 | 5546 | -1319 |
| 4 | 6222 | -418 |
| 5 | 4634 | -2467 |
| 6 | 5266 | -1493 |
| 7 | 2765 | -2612 |
| 8 | 3220 | -2713 |
| 9 | 4698 | -796 |
| 10 | 2577 | -2374 |
| 11 | 3908 | -1213 |
| 12 | 4136 | -2387 |